# TbLuMgSn

A relaxed structure of TbLuMgSn (PBE-GGA, the Alexandria database).

```
4
Lattice="0.000 3.720 3.720 3.720 0.000 3.720 3.720 3.720 0.000" Properties=species:S:1:pos:R:3 pbc="T T T"
Tb 0.000 0.000 0.000
Lu 3.720 3.720 3.720
Mg 5.581 5.581 5.581
Sn 1.860 1.860 1.860
```

Output
The crystal system is cubic. The calculated total energy is -4.0493 eV per atom. The formation energy is -0.362 eV per atom.